Entry from Alexandria: a relaxed structure of CePuPb6 (PBE).

Calculated formation energy: -5.974 kcal/mol of atoms
E_tot: -44.59 eV for the cell shown
D(E_F): 1.9620 states/eV per atom

a b c (Å): 4.891 4.891 9.774
angles (deg): 90.00 90.00 90.00
Fractional positions:
Ce (0.000, 0.000, 0.000)
Pu (0.000, 0.000, 0.500)
Pb (0.000, 0.500, 0.253)
Pb (0.000, 0.500, 0.747)
Pb (0.500, 0.000, 0.253)
Pb (0.500, 0.000, 0.747)
Pb (0.500, 0.500, 0.000)
Pb (0.500, 0.500, 0.500)